The following is a PBE calculation of a relaxed structure of ScSb2Pt, from Alexandria.

a = 3.8631 Å, b = 3.8631 Å, c = 5.8731 Å
α = 90.00°, β = 90.00°, γ = 90.00°
With the nearest neighbours (Å) after each atom.
Fractional positions:
Sc (0.0000, 0.0000, 0.0000)  6 Sb 2.87-3.01
Sb (0.0000, 0.0000, 0.4881)  4 Pt 2.86, 2 Sc 2.87-3.01
Sb (0.5000, 0.5000, 0.8423)  4 Sc 2.88, 2 Pt 2.94
Pt (0.5000, 0.5000, 0.3421)  6 Sb 2.86-2.94

- DOS at the Fermi energy (states/eV/f.u.) = 1.875
- size of the total moment (μB per atom) = 0.00
- SG = P4mm
- energy relative to the lowest polymorph listed for this composition (kJ/mol of atoms) = 0.00
- formation energy (no corrections) (eV/atom) = -0.563